## BHPt2 (PBE)

Data for a geometry-optimized BHPt2 structure.

DOS(E_F) = 1.16 states/eV per cell
polymorph energy (0 for the lowest one) = 0.278 eV/atom

a = 5.485 Å, b = 5.485 Å, c = 5.485 Å
α = 90.00°, β = 90.00°, γ = 90.00°
Space group Fm-3m (No. 225)
Unique sites:
B (0.000, 0.000, 0.000) (multiplicity 4)
H (0.000, 0.000, 0.500) (multiplicity 4)
Pt (0.250, 0.250, 0.250) (multiplicity 8)